Crystalline Ag2SnHgCl6 at its relaxed geometry. Source: the Alexandria database, functional PBE.

Cell and atoms, written as POSCAR:
```
Ag2SnHgCl6
1.0
7.0029 0.0010 0.0026
3.5023 6.0616 0.0015
3.5036 2.0213 6.3042
Ag Cl Hg Sn
2 6 1 1
direct
0.0181 0.0185 0.9450
0.5215 0.5212 0.4360
0.7177 0.1128 0.7609
0.9232 0.5968 0.2510
0.1128 0.4087 0.7609
0.5969 0.2292 0.2507
0.4084 0.7178 0.7609
0.2292 0.9231 0.2509
0.3167 0.3166 0.0500
0.8170 0.8169 0.5490
```

Output
* formation energy from raw total energies: -14.49 kcal/mol of atoms
* Fermi-level density of states: 0.0 states/eV/cell
* uncorrected energy: -27.4 eV/cell